# Na2B3C PBE optimized geometry
data_Na2B3C
_chemical_formula_sum 'Na20 B30 C10'
_cell_length_a 23.0028
_cell_length_b 2.8829
_cell_length_c 9.9923
_cell_angle_alpha 90.00
_cell_angle_beta 107.22
_cell_angle_gamma 90.00
_space_group_name_H-M_alt 'C 1 m 1'
_space_group_IT_number 8
loop_
_space_group_symop_operation_xyz
'x,y,z'
'x,-y,z'
'x+1/2,y+1/2,z'
'x+1/2,-y+1/2,z'
loop_
_atom_site_label
_atom_site_fract_x
_atom_site_fract_y
_atom_site_fract_z
Na1 0.0000 0.0000 0.0000
Na2 0.9999 0.5000 0.4955
Na3 0.0998 0.5000 0.1970
Na4 0.1009 0.0000 0.6929
Na5 0.1996 0.0000 0.3958
Na6 0.2021 0.5000 0.8942
Na7 0.2993 0.5000 0.5994
Na8 0.3005 0.0000 0.0965
Na9 0.4004 0.5000 0.2963
Na10 0.4006 0.0000 0.7984
B1 0.0243 0.5000 0.7950
B2 0.0808 0.0000 0.4073
B3 0.1142 0.0000 0.9742
B4 0.1771 0.5000 0.6002
B5 0.1820 0.0000 0.1101
B6 0.2152 0.5000 0.1767
B7 0.2174 0.0000 0.6813
B8 0.2836 0.5000 0.3113
B9 0.2898 0.0000 0.8256
B10 0.3150 0.0000 0.3749
B11 0.3803 0.0000 0.5080
B12 0.3869 0.5000 0.0199
B13 0.4195 0.5000 0.5862
B14 0.4839 0.0000 0.2135
B15 0.4843 0.5000 0.7148
C1 0.0161 0.0000 0.2771
C2 0.0845 0.5000 0.9160
C3 0.1131 0.5000 0.4722
C4 0.3214 0.5000 0.8891
C5 0.4188 0.0000 0.0833
# * ΔE to the lowest computed polymorph: 0.77 kcal/mol of atoms
# * electronic total energy: -5.15 eV/atom
# * ΔE_f: 167 meV per atom
# * magnetic moment: 0.0 μB per formula unit
# * density: 2372 kg/m³

=====

# Na5B9C PBE optimized geometry
data_Na5B9C
_chemical_formula_sum 'Na10 B18 C2'
_cell_length_a 5.1202
_cell_length_b 7.9366
_cell_length_c 9.1594
_cell_angle_alpha 75.83
_cell_angle_beta 73.78
_cell_angle_gamma 71.23
_space_group_name_H-M_alt 'P -1'
_space_group_IT_number 2
loop_
_space_group_symop_operation_xyz
'x,y,z'
'-x,-y,-z'
loop_
_atom_site_label
_atom_site_fract_x
_atom_site_fract_y
_atom_site_fract_z
Na1 0.0000 0.0000 0.0000
Na2 0.0000 0.5000 0.5000
Na3 0.2003 0.0992 0.4999
Na4 0.2003 0.5997 0.9998
Na5 0.4002 0.6993 0.5001
Na6 0.4022 0.1999 0.0010
B1 0.0114 0.3673 0.2496
B2 0.0198 0.8502 0.7506
B3 0.1618 0.7515 0.2505
B4 0.1710 0.2677 0.7502
B5 0.2358 0.9446 0.2500
B6 0.3637 0.3481 0.2501
B7 0.3694 0.8449 0.7500
B8 0.4200 0.0499 0.7501
B9 0.4411 0.5498 0.2503
C1 0.2409 0.4503 0.7502
# * ΔE to the lowest computed polymorph: 0.38 kcal/mol of atoms
# * electronic total energy: -4.81 eV/atom
# * ΔE_f: 253 meV per atom
# * magnetic moment: 0.0 μB per formula unit
# * density: 2234 kg/m³

=====

# Na3B5C PBE optimized geometry
data_Na3B5C
_chemical_formula_sum 'Na12 B20 C4'
_cell_length_a 15.9929
_cell_length_b 2.8203
_cell_length_c 10.1820
_cell_angle_alpha 90.00
_cell_angle_beta 121.64
_cell_angle_gamma 90.00
_space_group_name_H-M_alt 'C 1 2/m 1'
_space_group_IT_number 12
loop_
_space_group_symop_operation_xyz
'x,y,z'
'-x,-y,-z'
'-x,y,-z'
'x,-y,z'
'x+1/2,y+1/2,z'
'-x+1/2,-y+1/2,-z'
'-x+1/2,y+1/2,-z'
'x+1/2,-y+1/2,z'
loop_
_atom_site_label
_atom_site_fract_x
_atom_site_fract_y
_atom_site_fract_z
Na1 0.0000 0.0000 0.0000
Na2 0.0000 0.5000 0.5000
Na3 0.1668 0.0000 0.5005
Na4 0.1683 0.5000 0.0021
B1 0.0293 0.5000 0.2507
B2 0.0397 0.0000 0.7498
B3 0.1340 0.5000 0.2501
B4 0.1885 0.5000 0.7502
B5 0.2029 0.0000 0.2498
C1 0.1373 0.0000 0.7504
# * ΔE to the lowest computed polymorph: 0.04 kcal/mol of atoms
# * electronic total energy: -4.98 eV/atom
# * ΔE_f: 193 meV per atom
# * magnetic moment: 0.0 μB per formula unit
# * density: 2294 kg/m³

=====

# Na5B8C2 PBE optimized geometry
data_Na5B8C2
_chemical_formula_sum 'Na20 B32 C8'
_cell_length_a 14.8251
_cell_length_b 5.0300
_cell_length_c 10.4780
_cell_angle_alpha 90.00
_cell_angle_beta 124.33
_cell_angle_gamma 90.00
_space_group_name_H-M_alt 'C 1 2 1'
_space_group_IT_number 5
loop_
_space_group_symop_operation_xyz
'x,y,z'
'-x,y,-z'
'x+1/2,y+1/2,z'
'-x+1/2,y+1/2,-z'
loop_
_atom_site_label
_atom_site_fract_x
_atom_site_fract_y
_atom_site_fract_z
Na1 0.0014 0.9997 0.2524
Na2 0.1003 0.5008 0.2510
Na3 0.1006 0.4956 0.7501
Na4 0.1994 0.9956 0.7489
Na5 0.1997 0.0000 0.2503
B1 0.0000 0.1672 0.0000
B2 0.0000 0.8360 0.5000
B3 0.0904 0.6823 0.9993
B4 0.0942 0.3349 0.5000
B5 0.1019 0.3381 0.9991
B6 0.1922 0.8030 0.4995
B7 0.1959 0.1573 0.9994
B8 0.2012 0.8133 0.9995
B9 0.2015 0.1803 0.5004
C1 0.0000 0.1726 0.5000
C2 0.0000 0.8441 0.0000
C3 0.0947 0.6721 0.4994
# * ΔE to the lowest computed polymorph: 0.69 kcal/mol of atoms
# * electronic total energy: -5.03 eV/atom
# * ΔE_f: 200 meV per atom
# * magnetic moment: 0.0 μB per formula unit
# * density: 2321 kg/m³

=====

# Na8B15C PBE optimized geometry
data_Na8B15C
_chemical_formula_sum 'Na16 B30 C2'
_cell_length_a 6.0376
_cell_length_b 17.3078
_cell_length_c 5.1736
_cell_angle_alpha 90.00
_cell_angle_beta 90.00
_cell_angle_gamma 90.00
_space_group_name_H-M_alt 'C m m 2'
_space_group_IT_number 35
loop_
_space_group_symop_operation_xyz
'x,y,z'
'-x,-y,z'
'-x,y,z'
'x,-y,z'
'x+1/2,y+1/2,z'
'-x+1/2,-y+1/2,z'
'-x+1/2,y+1/2,z'
'x+1/2,-y+1/2,z'
loop_
_atom_site_label
_atom_site_fract_x
_atom_site_fract_y
_atom_site_fract_z
Na1 0.0000 0.1251 0.0000
Na2 0.0000 0.3749 0.0016
Na3 0.2497 0.1256 0.5011
B1 0.0000 0.0000 0.3209
B2 0.0000 0.0000 0.6759
B3 0.0000 0.2501 0.3341
B4 0.0000 0.2503 0.6677
B5 0.0000 0.5000 0.6497
B6 0.2366 0.5000 0.1854
B7 0.2475 0.5000 0.8299
B8 0.2500 0.2500 0.1684
B9 0.2500 0.2500 0.8337
C1 0.0000 0.5000 0.3302
# * ΔE to the lowest computed polymorph: 0.11 kcal/mol of atoms
# * electronic total energy: -4.72 eV/atom
# * ΔE_f: 274 meV per atom
# * magnetic moment: 0.0 μB per formula unit
# * density: 2200 kg/m³

=====

# Na2B3C PBE optimized geometry
data_Na2B3C
_chemical_formula_sum 'Na10 B15 C5'
_cell_length_a 4.9047
_cell_length_b 7.6406
_cell_length_c 9.1236
_cell_angle_alpha 77.24
_cell_angle_beta 75.16
_cell_angle_gamma 75.73
_space_group_name_H-M_alt 'P 1'
_space_group_IT_number 1
loop_
_space_group_symop_operation_xyz
'x,y,z'
loop_
_atom_site_label
_atom_site_fract_x
_atom_site_fract_y
_atom_site_fract_z
Na1 0.0000 0.0000 0.0000
Na2 0.0027 0.4962 0.5054
Na3 0.1987 0.6010 0.9985
Na4 0.2017 0.0996 0.5074
Na5 0.3938 0.6989 0.5110
Na6 0.4081 0.1993 0.0045
Na7 0.5906 0.8028 0.0025
Na8 0.6067 0.2918 0.5160
Na9 0.7955 0.9017 0.5033
Na10 0.8178 0.3939 0.9982
B1 0.0384 0.3419 0.2558
B2 0.1738 0.2373 0.7563
B3 0.2382 0.9506 0.2540
B4 0.2581 0.4476 0.7542
B5 0.3513 0.8588 0.7542
B6 0.3821 0.5813 0.2538
B7 0.4194 0.3473 0.2555
B8 0.6129 0.4293 0.7555
B9 0.6313 0.6738 0.7533
B10 0.6670 0.1375 0.2544
B11 0.7415 0.0583 0.7562
B12 0.7476 0.5244 0.2556
B13 0.8100 0.7627 0.2540
B14 0.9828 0.6252 0.7526
B15 0.9956 0.8582 0.7539
C1 0.1443 0.7574 0.2533
C2 0.4143 0.0554 0.7566
C3 0.5713 0.9467 0.2537
C4 0.8414 0.2459 0.7568
C5 0.9974 0.1367 0.2546
# * ΔE to the lowest computed polymorph: 0.73 kcal/mol of atoms
# * electronic total energy: -5.15 eV/atom
# * ΔE_f: 165 meV per atom
# * magnetic moment: 0.0 μB per formula unit
# * density: 2378 kg/m³

=====

# Na5B9C PBE optimized geometry
data_Na5B9C
_chemical_formula_sum 'Na20 B36 C4'
_cell_length_a 23.2479
_cell_length_b 2.9468
_cell_length_c 10.1447
_cell_angle_alpha 90.00
_cell_angle_beta 106.15
_cell_angle_gamma 90.00
_space_group_name_H-M_alt 'C 1 m 1'
_space_group_IT_number 8
loop_
_space_group_symop_operation_xyz
'x,y,z'
'x,-y,z'
'x+1/2,y+1/2,z'
'x+1/2,-y+1/2,z'
loop_
_atom_site_label
_atom_site_fract_x
_atom_site_fract_y
_atom_site_fract_z
Na1 0.0000 0.0000 0.0000
Na2 0.9998 0.5000 0.4965
Na3 0.1005 0.5000 0.1965
Na4 0.1013 0.0000 0.6964
Na5 0.1995 0.0000 0.3968
Na6 0.1997 0.5000 0.8980
Na7 0.2999 0.0000 0.0956
Na8 0.2997 0.5000 0.5964
Na9 0.3994 0.5000 0.2960
Na10 0.3999 0.0000 0.7970
B1 0.0166 0.0000 0.2796
B2 0.0249 0.5000 0.7967
B3 0.0834 0.0000 0.4138
B4 0.1151 0.0000 0.9777
B5 0.1164 0.5000 0.4803
B6 0.1823 0.0000 0.1114
B7 0.1837 0.5000 0.6136
B8 0.2166 0.0000 0.6794
B9 0.2203 0.5000 0.1873
B10 0.2833 0.0000 0.8144
B11 0.3115 0.0000 0.3701
B12 0.3163 0.5000 0.8807
B13 0.3787 0.0000 0.5043
B14 0.3835 0.5000 0.0138
B15 0.4165 0.0000 0.0800
B16 0.4187 0.5000 0.5845
B17 0.4833 0.0000 0.2137
B18 0.4834 0.5000 0.7134
C1 0.0841 0.5000 0.9157
C2 0.2818 0.5000 0.3102
# * ΔE to the lowest computed polymorph: 0.33 kcal/mol of atoms
# * electronic total energy: -4.81 eV/atom
# * ΔE_f: 251 meV per atom
# * magnetic moment: 0.0 μB per formula unit
# * density: 2231 kg/m³

=====

# Na4B5C3 PBE optimized geometry
data_Na4B5C3
_chemical_formula_sum 'Na8 B10 C6'
_cell_length_a 5.6947
_cell_length_b 8.5145
_cell_length_c 5.0063
_cell_angle_alpha 90.00
_cell_angle_beta 90.00
_cell_angle_gamma 90.00
_space_group_name_H-M_alt 'P m m n'
_space_group_IT_number 59
loop_
_space_group_symop_operation_xyz
'x,y,z'
'-x,-y,-z'
'-x+1/2,-y+1/2,z'
'x+1/2,y+1/2,-z'
'x+1/2,-y,-z'
'-x+1/2,y,z'
'-x,y+1/2,-z'
'x,-y+1/2,z'
loop_
_atom_site_label
_atom_site_fract_x
_atom_site_fract_y
_atom_site_fract_z
Na1 0.0000 0.0000 0.0000
Na2 0.2500 0.0029 0.4978
B1 0.0122 0.7500 0.3457
B2 0.2500 0.2500 0.1798
B3 0.2500 0.2500 0.8412
B4 0.2500 0.7500 0.8369
C1 0.0051 0.7500 0.6643
C2 0.2500 0.7500 0.1637
# * ΔE to the lowest computed polymorph: 0.97 kcal/mol of atoms
# * electronic total energy: -5.43 eV/atom
# * ΔE_f: 103 meV per atom
# * magnetic moment: 0.0 μB per formula unit
# * density: 2491 kg/m³